Here is crystalline Ag7HgPd4 at its relaxed geometry from Alexandria. Energies are from PBE.

The structure in extended XYZ format:
```
12
Lattice="5.198 -2.541 0.000 5.198 2.541 0.000 -5.118 0.000 8.664" Properties=species:S:1:pos:R:3 pbc="T T T"
Ag 0.000 0.000 0.000
Ag -1.538 0.000 5.355
Ag -2.519 0.000 7.914
Ag 1.253 0.000 4.757
Ag 4.025 0.000 3.907
Ag 7.797 0.000 0.749
Ag 6.816 0.000 3.308
Hg 5.198 0.000 0.000
Pd -0.644 0.000 2.708
Pd 2.047 0.000 1.986
Pd 3.231 0.000 6.678
Pd 5.922 0.000 5.956
```

Output
Raw total energy = -38.7 eV per cell
Theoretical density = 10.0 g/cm3
Magnetic moment = 0.0 μB per cell
Energy of formation from the pure elements = 0.196 eV per atom

Here is crystalline Ag2Hg2Pd3 at its relaxed geometry from Alexandria. Energies are from PBE.

The structure in extended XYZ format:
```
7
Lattice="2.319 1.339 6.711 -2.319 1.339 6.711 0.000 -2.678 6.711" Properties=species:S:1:pos:R:3 pbc="T T T"
Ag 0.000 0.000 2.802
Ag 0.000 0.000 17.332
Hg 0.000 0.000 8.449
Hg 0.000 0.000 11.685
Pd 0.000 0.000 0.000
Pd 0.000 0.000 5.658
Pd 0.000 0.000 14.476
```

Output
Raw total energy = -22.3 eV per cell
Theoretical density = 12.4 g/cm3
Magnetic moment = 0.0 μB per cell
Energy of formation from the pure elements = -0.064 eV per atom

Here is crystalline Ag3Hg2Pd7 at its relaxed geometry from Alexandria. Energies are from PBE.

The structure in extended XYZ format:
```
12
Lattice="4.685 0.000 0.000 0.000 2.857 0.000 -2.340 0.000 16.200" Properties=species:S:1:pos:R:3 pbc="T T T"
Ag 0.000 0.000 0.000
Ag -0.007 1.428 9.882
Ag 2.352 1.428 6.317
Hg 0.056 0.000 4.660
Hg 2.289 0.000 11.540
Pd -1.584 1.428 13.828
Pd 0.000 0.000 7.361
Pd 1.626 0.000 2.340
Pd 2.342 1.428 0.000
Pd 0.719 0.000 13.860
Pd 2.344 0.000 8.838
Pd 3.929 1.428 2.372
```

Output
Raw total energy = -45.1 eV per cell
Theoretical density = 11.3 g/cm3
Magnetic moment = 0.0 μB per cell
Energy of formation from the pure elements = 0.033 eV per atom

Here is crystalline AgHgPd at its relaxed geometry from Alexandria. Energies are from PBE.

The structure in extended XYZ format:
```
3
Lattice="3.061 0.000 0.000 -0.008 4.622 0.000 -0.058 -0.037 4.622" Properties=species:S:1:pos:R:3 pbc="T T T"
Ag 0.000 0.000 0.000
Hg -0.033 2.293 2.311
Pd 1.527 2.311 0.000
```

Output
Raw total energy = -8.4 eV per cell
Theoretical density = 10.5 g/cm3
Magnetic moment = 0.0 μB per cell
Energy of formation from the pure elements = -0.027 eV per atom

Here is crystalline Ag2Hg3Pd8 at its relaxed geometry from Alexandria. Energies are from PBE.

The structure in extended XYZ format:
```
13
Lattice="4.949 0.000 0.000 0.914 6.375 0.000 1.627 0.362 7.320" Properties=species:S:1:pos:R:3 pbc="T T T"
Ag 1.300 1.467 1.492
Ag 6.190 5.270 5.828
Hg 1.270 3.368 3.660
Hg 3.057 5.058 1.970
Hg 4.433 1.679 5.351
Pd 1.977 2.606 6.308
Pd 2.031 0.647 4.182
Pd 3.730 6.258 6.783
Pd 3.728 4.359 4.735
Pd 3.762 2.378 2.585
Pd 3.760 0.479 0.537
Pd 5.459 6.090 3.138
Pd 5.513 4.131 1.012
```

Output
Raw total energy = -48.5 eV per cell
Theoretical density = 12.0 g/cm3
Magnetic moment = 0.0 μB per cell
Energy of formation from the pure elements = -0.026 eV per atom

Here is crystalline Ag2Hg2Pd5 at its relaxed geometry from Alexandria. Energies are from PBE.

The structure in extended XYZ format:
```
9
Lattice="8.348 0.000 0.000 0.000 2.335 4.017 0.000 -2.335 4.017" Properties=species:S:1:pos:R:3 pbc="T T T"
Ag 1.452 0.000 0.000
Ag 6.896 0.000 0.000
Hg 0.000 0.000 5.360
Hg 4.174 0.000 2.686
Pd 1.389 0.000 2.682
Pd 2.782 0.000 5.360
Pd 4.174 0.000 8.033
Pd 5.566 0.000 5.360
Pd 6.959 0.000 2.682
```

Output
Raw total energy = -32.6 eV per cell
Theoretical density = 12.2 g/cm3
Magnetic moment = 0.0 μB per cell
Energy of formation from the pure elements = -0.041 eV per atom

Here is crystalline AgHg2Pd3 at its relaxed geometry from Alexandria. Energies are from PBE.

The structure in extended XYZ format:
```
12
Lattice="2.177 -6.536 0.000 2.177 6.536 0.000 0.000 0.000 7.396" Properties=species:S:1:pos:R:3 pbc="T T T"
Ag 2.177 4.319 0.000
Ag 2.177 -4.319 0.000
Hg 2.177 4.357 3.698
Hg 2.177 0.000 0.000
Hg 2.177 0.000 3.698
Hg 2.177 -4.357 3.698
Pd 0.000 0.000 1.828
Pd 0.000 0.000 5.568
Pd 2.177 2.179 1.840
Pd 2.177 2.179 5.556
Pd 2.177 -2.179 1.840
Pd 2.177 -2.179 5.556
```

Output
Raw total energy = -39.8 eV per cell
Theoretical density = 13.1 g/cm3
Magnetic moment = 0.0 μB per cell
Energy of formation from the pure elements = -0.146 eV per atom

Here is crystalline AgHg2Pd2 at its relaxed geometry from Alexandria. Energies are from PBE.

The structure in extended XYZ format:
```
10
Lattice="4.551 0.000 0.000 -2.275 3.941 0.000 0.000 0.000 10.852" Properties=species:S:1:pos:R:3 pbc="T T T"
Ag 0.000 0.000 2.713
Ag 0.000 0.000 8.139
Hg 0.000 2.627 1.109
Hg 0.000 2.627 4.317
Hg 2.275 1.314 6.535
Hg 2.275 1.314 9.743
Pd 0.000 0.000 0.000
Pd 0.000 0.000 5.426
Pd 0.000 2.627 8.139
Pd 2.275 1.314 2.713
```

Output
Raw total energy = -27.2 eV per cell
Theoretical density = 12.3 g/cm3
Magnetic moment = 0.0 μB per cell
Energy of formation from the pure elements = 0.044 eV per atom

Here is crystalline Ag5Hg2Pd12 at its relaxed geometry from Alexandria. Energies are from PBE.

The structure in extended XYZ format:
```
19
Lattice="7.075 -4.673 0.000 7.075 4.673 0.000 -1.196 0.000 4.889" Properties=species:S:1:pos:R:3 pbc="T T T"
Ag 0.000 0.000 0.000
Ag 3.151 0.000 0.111
Ag 4.078 0.000 3.032
Ag 8.876 0.000 1.857
Ag 9.803 0.000 4.778
Hg 6.477 2.566 2.444
Hg 6.477 -2.566 2.444
Pd 3.861 2.302 1.452
Pd 1.379 0.000 2.271
Pd 4.562 2.320 4.400
Pd 8.392 2.320 0.489
Pd 6.081 0.000 1.025
Pd 9.093 2.302 3.437
Pd 3.861 -2.302 1.452
Pd 6.874 0.000 3.864
Pd 4.562 -2.320 4.400
Pd 8.392 -2.320 0.489
Pd 11.575 0.000 2.617
Pd 9.093 -2.302 3.437
```

Output
Raw total energy = -77.1 eV per cell
Theoretical density = 11.4 g/cm3
Magnetic moment = 0.0 μB per cell
Energy of formation from the pure elements = 0.006 eV per atom

Here is crystalline Ag5HgPd6 at its relaxed geometry from Alexandria. Energies are from PBE.

The structure in extended XYZ format:
```
12
Lattice="2.079 -6.207 0.000 2.079 6.207 0.000 0.000 0.000 7.827" Properties=species:S:1:pos:R:3 pbc="T T T"
Ag 0.000 0.000 0.000
Ag 2.079 2.100 3.913
Ag 2.079 2.074 0.000
Ag 2.079 -2.074 0.000
Ag 2.079 -2.100 3.913
Hg 0.000 0.000 3.913
Pd 2.079 4.137 1.947
Pd 2.079 4.137 5.880
Pd 2.079 0.000 1.950
Pd 2.079 0.000 5.877
Pd 2.079 -4.137 1.947
Pd 2.079 -4.137 5.880
```

Output
Raw total energy = -46.3 eV per cell
Theoretical density = 11.3 g/cm3
Magnetic moment = 0.0 μB per cell
Energy of formation from the pure elements = -0.047 eV per atom

Here is crystalline Ag5HgPd6 at its relaxed geometry from Alexandria. Energies are from PBE.

The structure in extended XYZ format:
```
12
Lattice="2.277 -6.835 0.000 2.277 6.835 0.000 -0.013 0.000 6.514" Properties=species:S:1:pos:R:3 pbc="T T T"
Ag 0.000 0.000 0.000
Ag 2.270 2.305 3.257
Ag 2.277 2.282 0.000
Ag 2.277 -2.282 0.000
Ag 2.270 -2.305 3.257
Hg -0.007 0.000 3.257
Pd 2.273 4.557 1.620
Pd 2.267 4.557 4.894
Pd 2.274 0.000 1.622
Pd 2.267 0.000 4.892
Pd 2.273 -4.557 1.620
Pd 2.267 -4.557 4.894
```

Output
Raw total energy = -46.3 eV per cell
Theoretical density = 11.3 g/cm3
Magnetic moment = 0.0 μB per cell
Energy of formation from the pure elements = -0.050 eV per atom

Here is crystalline AgHg2Pd2 at its relaxed geometry from Alexandria. Energies are from PBE.

The structure in extended XYZ format:
```
5
Lattice="-1.930 1.930 6.860 1.930 -1.930 6.860 1.930 1.930 -6.860" Properties=species:S:1:pos:R:3 pbc="T T T"
Ag 0.000 0.000 0.000
Hg 0.000 0.000 5.445
Hg 0.000 0.000 8.275
Pd 1.930 0.000 3.430
Pd 0.000 1.930 3.430
```

Output
Raw total energy = -13.3 eV per cell
Theoretical density = 11.7 g/cm3
Magnetic moment = 0.0 μB per cell
Energy of formation from the pure elements = 0.117 eV per atom

Here is crystalline AgHg4Pd7 at its relaxed geometry from Alexandria. Energies are from PBE.

The structure in extended XYZ format:
```
12
Lattice="5.218 -2.514 0.000 5.218 2.514 0.000 -5.173 0.000 8.716" Properties=species:S:1:pos:R:3 pbc="T T T"
Ag 0.000 0.000 0.000
Hg -2.112 0.000 6.723
Hg 0.814 0.000 5.995
Hg 4.448 0.000 2.721
Hg 7.374 0.000 1.993
Pd -1.151 0.000 4.038
Pd 2.575 0.000 0.702
Pd 1.627 0.000 3.298
Pd 5.218 0.000 0.000
Pd 3.635 0.000 5.418
Pd 2.687 0.000 8.015
Pd 6.413 0.000 4.678
```

Output
Raw total energy = -39.7 eV per cell
Theoretical density = 12.0 g/cm3
Magnetic moment = 0.0 μB per cell
Energy of formation from the pure elements = 0.057 eV per atom

Here is crystalline Ag8HgPd2 at its relaxed geometry from Alexandria. Energies are from PBE.

The structure in extended XYZ format:
```
11
Lattice="7.463 -2.064 0.000 7.463 2.064 0.000 -1.782 0.000 6.334" Properties=species:S:1:pos:R:3 pbc="T T T"
Ag 0.315 0.000 1.416
Ag 0.863 0.000 4.382
Ag 3.660 0.000 3.733
Ag 5.971 0.000 0.247
Ag 7.173 0.000 6.087
Ag 9.485 0.000 2.601
Ag 12.281 0.000 1.952
Ag 12.830 0.000 4.918
Hg 6.572 0.000 3.167
Pd 3.155 0.000 0.860
Pd 9.990 0.000 5.474
```

Output
Raw total energy = -33.6 eV per cell
Theoretical density = 10.9 g/cm3
Magnetic moment = 0.0 μB per cell
Energy of formation from the pure elements = -0.010 eV per atom

Here is crystalline Ag2HgPd8 at its relaxed geometry from Alexandria. Energies are from PBE.

The structure in extended XYZ format:
```
11
Lattice="3.665 -7.103 0.000 3.665 7.103 0.000 -3.218 0.000 3.668" Properties=species:S:1:pos:R:3 pbc="T T T"
Ag 3.665 4.508 0.000
Ag 3.665 -4.508 0.000
Hg 2.055 0.000 1.834
Pd -0.631 0.000 1.055
Pd -0.579 1.985 2.819
Pd 2.055 2.729 1.834
Pd -0.579 -1.985 2.819
Pd 4.689 1.985 0.849
Pd 2.055 -2.729 1.834
Pd 4.689 -1.985 0.849
Pd 4.742 0.000 2.613
```

Output
Raw total energy = -46.3 eV per cell
Theoretical density = 11.0 g/cm3
Magnetic moment = 0.0 μB per cell
Energy of formation from the pure elements = 0.111 eV per atom

Here is crystalline Ag5HgPd at its relaxed geometry from Alexandria. Energies are from PBE.

The structure in extended XYZ format:
```
7
Lattice="-3.661 4.852 2.689 3.661 -4.852 2.689 3.661 4.852 -2.689" Properties=species:S:1:pos:R:3 pbc="T T T"
Ag 0.000 0.000 0.000
Ag 3.661 2.142 -0.099
Ag -1.321 4.852 1.344
Ag 1.321 4.852 1.344
Ag 0.000 2.710 2.590
Hg 0.000 0.000 2.610
Pd 3.661 0.000 1.506
```

Output
Raw total energy = -15.5 eV per cell
Theoretical density = 7.4 g/cm3
Magnetic moment = 0.0 μB per cell
Energy of formation from the pure elements = 0.602 eV per atom

Here is crystalline Ag2HgPd at its relaxed geometry from Alexandria. Energies are from PBE.

The structure in extended XYZ format:
```
4
Lattice="0.000 3.306 3.306 3.306 0.000 3.306 3.306 3.306 0.000" Properties=species:S:1:pos:R:3 pbc="T T T"
Ag 0.000 0.000 0.000
Ag 1.653 1.653 1.653
Hg 4.959 4.959 4.959
Pd 3.306 3.306 3.306
```

Output
Raw total energy = -11.3 eV per cell
Theoretical density = 12.0 g/cm3
Magnetic moment = 0.0 μB per cell
Energy of formation from the pure elements = -0.034 eV per atom

Here is crystalline Ag4HgPd7 at its relaxed geometry from Alexandria. Energies are from PBE.

The structure in extended XYZ format:
```
12
Lattice="5.032 -2.491 0.000 5.032 2.491 0.000 -4.641 0.000 8.772" Properties=species:S:1:pos:R:3 pbc="T T T"
Ag -0.544 0.000 2.711
Ag 2.208 0.000 2.000
Ag 3.215 0.000 6.772
Ag 5.967 0.000 6.061
Hg 5.032 0.000 0.000
Pd 0.000 0.000 0.000
Pd -1.335 0.000 5.390
Pd -2.124 0.000 8.009
Pd 1.369 0.000 4.712
Pd 4.054 0.000 4.060
Pd 7.547 0.000 0.763
Pd 6.757 0.000 3.382
```

Output
Raw total energy = -46.0 eV per cell
Theoretical density = 10.4 g/cm3
Magnetic moment = 0.0 μB per cell
Energy of formation from the pure elements = 0.173 eV per atom

Here is crystalline Ag5HgPd4 at its relaxed geometry from Alexandria. Energies are from PBE.

The structure in extended XYZ format:
```
10
Lattice="7.072 -2.154 0.000 7.072 2.154 0.000 -3.227 0.000 6.095" Properties=species:S:1:pos:R:3 pbc="T T T"
Ag 0.000 0.000 0.000
Ag 3.287 0.000 2.266
Ag 2.167 0.000 4.848
Ag 8.750 0.000 1.246
Ag 7.630 0.000 3.829
Hg -1.613 0.000 3.047
Pd -0.482 0.000 5.616
Pd 5.986 0.000 1.453
Pd 4.931 0.000 4.642
Pd 11.398 0.000 0.479
```

Output
Raw total energy = -34.9 eV per cell
Theoretical density = 10.4 g/cm3
Magnetic moment = 0.0 μB per cell
Energy of formation from the pure elements = 0.041 eV per atom

Here is crystalline Ag4HgPd at its relaxed geometry from Alexandria. Energies are from PBE.

The structure in extended XYZ format:
```
6
Lattice="0.000 3.856 3.856 3.856 0.000 3.856 3.856 3.856 0.000" Properties=species:S:1:pos:R:3 pbc="T T T"
Ag 0.963 0.963 0.963
Ag 2.893 2.893 0.963
Ag 2.893 0.963 2.893
Ag 0.963 2.893 2.893
Hg 3.856 3.856 3.856
Pd 5.784 5.784 5.784
```

Output
Raw total energy = -15.9 eV per cell
Theoretical density = 10.7 g/cm3
Magnetic moment = 0.0 μB per cell
Energy of formation from the pure elements = 0.175 eV per atom